The following is a GGA-PBEsol calculation of a geometry-optimized Co6ReNi structure, from the Alexandria database.

Results
Uncorrected energy: -524.9 eV per cell
DFT formation energy: 0.037 eV/atom

Lattice parameters (Å, degrees): 6.981 9.902 9.901 90.00 90.00 90.00
Space group Cmmm (No. 65)
Symmetry-distinct sites (fractional):
Co  0.000  0.000  0.000 [2 per cell]
Co  0.000  0.000  0.500 [2 per cell]
Co  0.000  0.248  0.248 [8 per cell]
Co  0.000  0.500  0.000 [2 per cell]
Co  0.000  0.500  0.500 [2 per cell]
Co  0.247  0.126  0.123 [16 per cell]
Co  0.249  0.124  0.375 [16 per cell]
Re  0.000  0.254  0.500 [4 per cell]
Re  0.000  0.500  0.247 [4 per cell]
Ni  0.000  0.000  0.246 [4 per cell]
Ni  0.000  0.252  0.000 [4 per cell]